a) Compound: Ca3La
Source: Alexandria via LeMat-Bulk
Functional: PBE
Structure: relaxed

Total magnetic moment ... 0.00 Bohr magnetons per cell
V ... 40.349 A^3/atom

Lattice parameters (Å, degrees): 13.0820 13.0820 13.0820 16.71 16.71 16.71
Last column: nearest neighbours and their distance in Å.
Fractional positions:
Ca 0.0000 0.0000 0.0000  12 Ca 3.80-3.94
Ca 0.2488 0.2488 0.2488  9 Ca 3.80-3.94, 3 La 3.86
Ca 0.7512 0.7512 0.7512  9 Ca 3.80-3.94, 3 La 3.86
La 0.5000 0.5000 0.5000  6 La 3.80, 6 Ca 3.86

b) Compound: Ca3La
Source: Alexandria via LeMat-Bulk
Functional: PBE
Structure: relaxed

Total magnetic moment ... 0.01 Bohr magnetons per cell
V ... 40.136 A^3/atom

Lattice parameters (Å, degrees): 3.6761 6.1352 7.2374 90.00 100.40 90.00
Last column: nearest neighbours and their distance in Å.
Fractional positions:
Ca 0.0000 0.0000 0.0000  6 Ca 3.68-3.74, 2 La 3.75
Ca 0.2262 0.5000 0.7477  6 Ca 3.67-3.84, 2 La 3.78
Ca 0.7738 0.5000 0.2523  6 Ca 3.67-3.84, 2 La 3.78
La 0.5000 0.0000 0.5000  2 La 3.68, 6 Ca 3.75-3.78

So which one is most stable? That would be a), about 0.033 eV/atom below the next structure.

a) Compound: Ca3La
Source: Alexandria via LeMat-Bulk
Functional: PBE
Structure: relaxed

Total magnetic moment ... 0.00 Bohr magnetons per cell
V ... 40.002 A^3/atom

Lattice parameters (Å, degrees): 7.2011 7.2011 7.2011 117.18 117.18 117.18
Last column: nearest neighbours and their distance in Å.
Fractional positions:
Ca 0.0000 0.5000 0.5000  6 Ca 3.67-3.75, 2 La 3.75
Ca 0.5000 0.0000 0.5000  6 Ca 3.67-3.75, 2 La 3.75
Ca 0.5000 0.5000 0.0000  6 Ca 3.67-3.75, 2 La 3.75
La 0.0000 0.0000 0.0000  2 La 3.67, 6 Ca 3.75

b) Compound: Ca3La
Source: Alexandria via LeMat-Bulk
Functional: PBE
Structure: relaxed

Total magnetic moment ... 0.00 Bohr magnetons per cell
V ... 40.735 A^3/atom

Lattice parameters (Å, degrees): 3.8412 3.8412 22.0871 90.00 90.00 90.00
Last column: nearest neighbours and their distance in Å.
Fractional positions:
Ca 0.2500 0.2500 0.0638  12 Ca 3.84-3.91
Ca 0.2500 0.2500 0.3189  8 Ca 3.84-3.92, 4 La 3.90
Ca 0.2500 0.2500 0.8092  12 Ca 3.84-3.92
Ca 0.7500 0.7500 0.1908  12 Ca 3.84-3.92
Ca 0.7500 0.7500 0.6811  8 Ca 3.84-3.92, 4 La 3.90
Ca 0.7500 0.7500 0.9362  12 Ca 3.84-3.91
La 0.2500 0.2500 0.5544  8 La 3.63-3.84, 4 Ca 3.90
La 0.7500 0.7500 0.4456  8 La 3.63-3.84, 4 Ca 3.90

c) Compound: Ca3La
Source: Alexandria via LeMat-Bulk
Functional: PBE
Structure: relaxed

Total magnetic moment ... 0.00 Bohr magnetons per cell
V ... 41.001 A^3/atom

Lattice parameters (Å, degrees): 3.5638 3.7285 12.3427 90.00 90.00 90.00
Last column: nearest neighbours and their distance in Å.
Fractional positions:
Ca 0.0000 0.0000 0.0000  10 Ca 3.56-3.91
Ca 0.0000 0.5000 0.2664  6 Ca 3.56-3.78, 4 La 3.88
Ca 0.5000 0.5000 0.7615  8 Ca 3.56-3.91, 2 La 3.72
La 0.5000 0.0000 0.5010  4 La 3.56-3.73, 6 Ca 3.72-3.88

d) Compound: Ca3La
Source: Alexandria via LeMat-Bulk
Functional: PBE
Structure: relaxed

Total magnetic moment ... 0.00 Bohr magnetons per cell
V ... 40.461 A^3/atom

Lattice parameters (Å, degrees): 3.7132 3.7132 12.6120 90.00 90.00 111.46
Last column: nearest neighbours and their distance in Å.
Fractional positions:
Ca 0.0000 0.0000 0.0000  8 Ca 3.71-3.81
Ca 0.5000 0.5000 0.2525  6 Ca 3.71-3.81, 2 La 3.76
Ca 0.5000 0.5000 0.7475  6 Ca 3.71-3.81, 2 La 3.76
La 0.0000 0.0000 0.5000  4 La 3.71, 4 Ca 3.76

So which one is most stable? That would be b), about 0.045 eV/atom below the next structure.

a) Compound: Ca3La
Source: Alexandria via LeMat-Bulk
Functional: PBE
Structure: relaxed

Total magnetic moment ... 0.14 Bohr magnetons per cell
V ... 40.698 A^3/atom

Lattice parameters (Å, degrees): 6.6968 6.6968 6.7785 98.34 98.34 32.80
Last column: nearest neighbours and their distance in Å.
Fractional positions:
Ca 0.0000 0.0000 0.0000  8 Ca 3.78-3.91, 4 La 3.88
Ca 0.2481 0.2481 0.7476  9 Ca 3.78-3.91, 3 La 3.86-3.87
Ca 0.7519 0.7519 0.2524  9 Ca 3.78-3.91, 3 La 3.86-3.87
La 0.5000 0.5000 0.5000  2 La 3.78, 10 Ca 3.86-3.88

b) Compound: Ca3La
Source: Alexandria via LeMat-Bulk
Functional: PBE
Structure: relaxed

Total magnetic moment ... 0.00 Bohr magnetons per cell
V ... 40.407 A^3/atom

Lattice parameters (Å, degrees): 3.8205 6.2876 6.7284 90.00 90.00 90.00
Last column: nearest neighbours and their distance in Å.
Fractional positions:
Ca 0.0000 0.0000 0.0000  8 Ca 3.81-3.92, 4 La 3.84
Ca 0.0000 0.5000 0.3370  8 Ca 3.82-3.88, 4 La 3.87
Ca 0.5000 0.0000 0.5093  10 Ca 3.81-3.92, 2 La 3.84
La 0.5000 0.5000 0.8365  2 La 3.82, 10 Ca 3.84-3.87

So which one is most stable? That would be b), about 0.007 eV/atom below the next structure.

a) Compound: CaLa2
Source: Alexandria via LeMat-Bulk
Functional: PBE
Structure: relaxed

Total magnetic moment ... 0.00 Bohr magnetons per cell
V ... 44.710 A^3/atom

Lattice parameters (Å, degrees): 5.9891 5.9891 3.7394 90.00 90.00 90.00
Last column: nearest neighbours and their distance in Å.
Fractional positions:
Ca 0.0000 0.0000 0.0000  8 La 3.53, 2 Ca 3.74
La 0.0000 0.5000 0.5000  4 Ca 3.53, 2 La 3.74
La 0.5000 0.0000 0.5000  4 Ca 3.53, 2 La 3.74

b) Compound: CaLa2
Source: Alexandria via LeMat-Bulk
Functional: PBE
Structure: relaxed

Total magnetic moment ... 0.00 Bohr magnetons per cell
V ... 38.677 A^3/atom

Lattice parameters (Å, degrees): 3.7691 3.7691 9.4311 90.00 90.00 120.00
Last column: nearest neighbours and their distance in Å.
Fractional positions:
Ca 0.0000 0.0000 0.0000  6 Ca 3.77, 6 La 3.91
La 0.3333 0.6667 0.3447  9 La 3.65-3.77, 3 Ca 3.91
La 0.6667 0.3333 0.6553  9 La 3.65-3.77, 3 Ca 3.91

So which one is most stable? That would be b), about 0.551 eV/atom below the next structure.